## LiTa2As (PBE)

Data for LiTa2As after structural relaxation.

Calculated values
Its formation enthalpy at 0 K is 0.384 eV/atom. As for the crystal system: tetragonal. For the magnetization, the calculation gives 0.00 μB per formula unit.

abc: 2.9154 2.9154 8.0157
angles: 90.00 90.00 90.00
Last column: nearest neighbours and their distance in Å.
Fractional positions:
1 As 0.5000 0.5000 0.2500  8 Ta 2.80, 4 As 2.92
2 Li 0.5000 0.5000 0.7500  4 Li 2.92, 8 Ta 2.95
3 Ta 0.0000 0.0000 0.4868  4 As 2.80, 4 Ta 2.92, 4 Li 2.95
4 Ta 0.0000 0.0000 0.0132  4 As 2.80, 4 Ta 2.92, 4 Li 2.95